Entry 1:
{"formula": "Mn23C6", "functional": "SCAN", "state": "single point on PBEsol structure", "ef_ev_per_atom": -0.11, "spacegroup": "Fm-3m, No. 225", "rho_kg_m3": 8261, "magmom_total_mub_per_cell": 18.09, "cell": [[7.2410, 0.0000, 0.0000], [3.6205, 6.2709, 0.0000], [3.6205, 2.0903, 5.9123]], "species": ["Mn", "Mn", "Mn", "Mn", "Mn", "Mn", "Mn", "Mn", "Mn", "Mn", "Mn", "Mn", "Mn", "Mn", "Mn", "Mn", "Mn", "Mn", "Mn", "Mn", "Mn", "Mn", "Mn", "C", "C", "C", "C", "C", "C"], "fractional_positions": [[0.0000, 0.0000, 0.0000], [0.2500, 0.2500, 0.2500], [0.7500, 0.7500, 0.7500], [0.8552, 0.3816, 0.3816], [0.6184, 0.6184, 0.6184], [0.6184, 0.6184, 0.1448], [0.6184, 0.1448, 0.6184], [0.3816, 0.3816, 0.8552], [0.3816, 0.8552, 0.3816], [0.3816, 0.3816, 0.3816], [0.1448, 0.6184, 0.6184], [0.6652, 0.0000, 0.3348], [0.6652, 0.0000, 0.0000], [0.0000, 0.6652, 0.3348], [0.0000, 0.3348, 0.0000], [0.0000, 0.6652, 0.0000], [0.6652, 0.3348, 0.0000], [0.0000, 0.0000, 0.3348], [0.0000, 0.3348, 0.6652], [0.3348, 0.6652, 0.0000], [0.0000, 0.0000, 0.6652], [0.3348, 0.0000, 0.0000], [0.3348, 0.0000, 0.6652], [0.7239, 0.2761, 0.7239], [0.2761, 0.7239, 0.7239], [0.7239, 0.2761, 0.2761], [0.2761, 0.2761, 0.7239], [0.7239, 0.7239, 0.2761], [0.2761, 0.7239, 0.2761]]}



Entry 2:
{"formula": "MnC2", "functional": "SCAN", "state": "single point on PBEsol structure", "de_polymorph_ev_per_atom": 0.483, "ef_ev_per_atom": 0.92, "spacegroup": "R3m, No. 160", "rho_kg_m3": 4183, "magmom_total_mub_per_cell": 0.82, "cell": [[3.1994, 0.0000, 0.0000], [1.5997, 2.7708, 0.0000], [1.5997, 0.9236, 3.5356]], "species": ["C", "C", "Mn"], "fractional_positions": [[0.2316, 0.2316, 0.3052], [0.3611, 0.3611, 0.9168], [0.0740, 0.0740, 0.7779]]}



Entry 3:
{"formula": "MnC2", "functional": "SCAN", "state": "single point on PBEsol structure", "de_polymorph_ev_per_atom": 0.009, "ef_ev_per_atom": 0.44, "spacegroup": "R-3m, No. 166", "rho_kg_m3": 6019, "magmom_total_mub_per_cell": 2.96, "cell": [[-2.1763, 0.0760, -1.3103], [-0.3449, -1.5531, -1.9818], [-2.3620, -3.1804, 1.2740]], "species": ["C", "C", "Mn"], "fractional_positions": [[0.1823, 0.1823, 0.4530], [0.8177, 0.8177, 0.5470], [0.0000, 0.0000, 0.0000]]}



Entry 4:
{"formula": "MnC2", "functional": "SCAN", "state": "single point on PBEsol structure", "de_polymorph_ev_per_atom": 0.295, "ef_ev_per_atom": 0.73, "spacegroup": "Cm, No. 8", "rho_kg_m3": 5730, "magmom_total_mub_per_cell": 1.39, "cell": [[2.5021, 0.0000, 0.0000], [0.0000, 4.1788, 0.0477], [-1.2511, 0.0101, 4.3770]], "species": ["C", "C", "C", "C", "Mn", "Mn"], "fractional_positions": [[0.1013, 0.9126, 0.2027], [0.5461, 0.7583, 0.0923], [0.3418, 0.3767, 0.6836], [0.3706, 0.7180, 0.7413], [0.0327, 0.3523, 0.0654], [0.7740, 0.0487, 0.5481]]}



Entry 5:
{"formula": "MnC2", "functional": "SCAN", "state": "single point on PBEsol structure", "de_polymorph_ev_per_atom": 0.880, "ef_ev_per_atom": 1.31, "spacegroup": "I4_1/amd, No. 141", "rho_kg_m3": 6024, "magmom_total_mub_per_cell": 5.34, "cell": [[-3.0428, 1.0663, -0.6290], [-1.2264, -2.8241, 1.1451], [1.9270, 2.4699, 3.4433]], "species": ["C", "C", "C", "C", "Mn", "Mn"], "fractional_positions": [[0.8415, 0.3415, 0.6830], [0.4085, 0.4085, 0.8170], [0.6585, 0.1585, 0.3170], [0.5915, 0.5915, 0.1830], [0.2500, 0.7500, 0.5000], [0.0000, 0.0000, 0.0000]]}



Entry 6:
{"formula": "MnC2", "functional": "SCAN", "state": "single point on PBEsol structure", "de_polymorph_ev_per_atom": 1.050, "ef_ev_per_atom": 1.48, "spacegroup": "P4_2/mnm, No. 136", "rho_kg_m3": 4707, "magmom_total_mub_per_cell": 1.61, "cell": [[-0.1758, -0.2347, 2.4758], [1.9748, -4.2868, -0.2662], [4.2821, 1.9423, 0.4881]], "species": ["C", "C", "C", "C", "Mn", "Mn"], "fractional_positions": [[0.0000, 0.7854, 0.7854], [0.0000, 0.2146, 0.2146], [0.5000, 0.7146, 0.2854], [0.5000, 0.2854, 0.7146], [0.0000, 0.5000, 0.5000], [0.5000, 0.0000, 0.0000]]}



> Number 5 is which compound?

MnC2